Here is Mg3In2Pd2 after structural relaxation from the Alexandria database. Energies are from PBE.

```
Mg3In2Pd2
1.0
4.499 -0.053 -1.426
-2.490 4.009 -0.010
-0.020 0.039 7.650
Mg In Pd
3 2 2
direct
0.000 0.000 0.000
0.725 0.864 0.590
0.275 0.136 0.410
0.193 0.600 0.793
0.807 0.400 0.207
0.478 0.732 0.211
0.522 0.268 0.789
```

Summary:
D(E_F) in states/eV/f.u.: 1.3
Energy of formation in eV per atom: -0.46
Polymorph energy (0 for the lowest one) in meV per atom: 4
Symmetry: C2/m (12)

=====

Here is Pm10Ho6Th after structural relaxation from the Alexandria database. Energies are from PBE.

```
Pm10Ho6Th
1.0
6.938 0.000 0.000
0.000 8.458 -4.883
0.000 0.000 9.767
Pm Ho Th
10 6 1
direct
0.821 0.723 0.723
0.821 0.000 0.277
0.821 0.277 0.000
0.179 0.277 0.277
0.179 0.000 0.723
0.179 0.723 0.000
0.500 0.333 0.667
0.500 0.667 0.333
0.000 0.667 0.333
0.000 0.333 0.667
0.686 0.367 0.367
0.686 0.000 0.633
0.686 0.633 0.000
0.314 0.633 0.633
0.314 0.000 0.367
0.314 0.367 0.000
0.500 0.000 0.000
```

Summary:
D(E_F) in states/eV/f.u.: 25.9
Energy of formation in eV per atom: 0.15
Symmetry: P-31m (162)

=====

Here is PuCdSn2 after structural relaxation from the Alexandria database. Energies are from PBE.

```
PuCdSn2
1.0
4.682 0.000 0.000
2.341 4.055 0.000
2.341 1.352 6.022
Pu Cd Sn
1 1 2
direct
0.489 0.489 0.532
0.677 0.677 0.970
0.071 0.071 0.786
0.263 0.263 0.212
```

Summary:
D(E_F) in states/eV/f.u.: 12.8
Energy of formation in eV per atom: 0.02
Polymorph energy (0 for the lowest one) in meV per atom: 326
Symmetry: R3m (160)

=====

Here is Rb3In3Au8 after structural relaxation from the Alexandria database. Energies are from PBE.

```
Rb3In3Au8
1.0
4.969 0.000 0.000
2.484 8.782 0.204
2.484 2.587 8.394
Rb In Au
3 3 8
direct
0.500 0.500 0.500
0.791 0.209 0.209
0.209 0.791 0.791
0.500 0.000 0.000
0.000 0.781 0.219
0.000 0.219 0.781
0.632 0.079 0.657
0.368 0.921 0.343
0.632 0.657 0.079
0.368 0.343 0.921
0.833 0.809 0.525
0.167 0.191 0.475
0.833 0.525 0.809
0.167 0.475 0.191
```

Summary:
D(E_F) in states/eV/f.u.: 3.9
Energy of formation in eV per atom: -0.16
Symmetry: Immm (71)

=====

Here is CsRb6Tl4 after structural relaxation from the Alexandria database. Energies are from PBE.

```
CsRb6Tl4
1.0
8.391 0.000 -4.808
-2.755 7.926 -4.808
0.092 0.129 9.886
Cs Rb Tl
1 6 4
direct
0.500 0.500 0.000
0.029 0.408 0.437
0.408 0.029 0.437
0.592 0.592 0.563
0.000 0.500 0.000
0.971 0.971 0.563
0.500 0.000 0.000
0.085 0.802 0.886
0.915 0.915 0.114
0.802 0.085 0.886
0.198 0.198 0.114
```

Summary:
D(E_F) in states/eV/f.u.: 8.2
Energy of formation in eV per atom: -0.06
Symmetry: I-42m (121)

=====

Here is YCuIr2 after structural relaxation from the Alexandria database. Energies are from PBE.

```
YCuIr2
1.0
2.933 0.000 0.000
0.000 2.933 0.000
0.000 0.000 7.735
Cu Ir Y
1 2 1
direct
0.500 0.500 0.780
0.000 0.000 0.994
0.500 0.500 0.220
0.000 0.000 0.505
```

Summary:
D(E_F) in states/eV/f.u.: 6.5
Energy of formation in eV per atom: 0.07
Polymorph energy (0 for the lowest one) in meV per atom: 356
Symmetry: P4mm (99)

=====

Here is La2SiPbO after structural relaxation from the Alexandria database. Energies are from PBE.

```
La2SiPbO
1.0
-5.278 1.860 -2.059
-1.294 -3.457 0.194
-1.828 0.998 5.587
Pb Si O La
1 1 1 2
direct
0.500 0.500 0.500
0.000 0.000 0.000
0.000 0.500 0.000
0.000 0.000 0.500
0.500 0.000 0.000
```

Summary:
Final energy in eV for the cell shown: -27.22
D(E_F) in states/eV/f.u.: 6.3
Symmetry: P4/mmm (123)

=====

Here is La14MgCd after structural relaxation from the Alexandria database. Energies are from PBE.

```
La14MgCd
1.0
-5.312 2.986 -4.015
-4.934 -2.156 4.925
1.188 9.025 5.140
La Mg Cd
14 1 1
direct
0.875 0.875 0.000
0.375 0.375 0.000
0.875 0.375 0.500
0.875 0.375 0.000
0.375 0.875 0.500
0.375 0.875 0.000
0.624 0.126 0.254
0.624 0.126 0.746
0.126 0.624 0.254
0.126 0.624 0.746
0.624 0.624 0.254
0.624 0.624 0.746
0.126 0.126 0.254
0.126 0.126 0.746
0.875 0.875 0.500
0.375 0.375 0.500
```

Summary:
D(E_F) in states/eV/f.u.: 24.9
Energy of formation in eV per atom: -0.03
Symmetry: P4/mmm (123)